1.
A geometry-optimized PmBeC structure. Source: Alexandria, functional PBE.

**Energy of formation**: 0.189 eV/atom
**Total magnetization**: 0.00 μB per atom
**Space-group type**: R-3m
**Raw total energy**: -5.711 eV/atom

Structure (POSCAR):
```
PmBeC
1.0
-3.525 0.601 2.401
-3.093 -2.997 0.074
0.773 -3.747 5.936
Be Pm C
2 2 2
Direct
0.187 0.187 0.440 Be
0.813 0.813 0.560 Be
0.399 0.399 0.802 Pm
0.601 0.601 0.198 Pm
0.729 0.729 0.813 C
0.271 0.271 0.187 C
```



2.
A geometry-optimized Nd2TiCu structure. Source: Alexandria, functional PBE.

**Energy of formation**: 0.515 eV/atom
**Total magnetization**: 0.41 μB per atom
**Space-group type**: R-3m
**Raw total energy**: -4.867 eV/atom

Structure (POSCAR):
```
Nd2TiCu
1.0
3.309 0.000 0.000
1.654 2.865 0.000
1.654 0.955 10.734
Nd Ti Cu
2 1 1
Direct
0.906 0.906 0.282 Nd
0.094 0.094 0.718 Nd
0.000 0.000 0.000 Ti
0.500 0.500 0.500 Cu
```



3.
A geometry-optimized Hg2Sb2Au structure. Source: Alexandria, functional PBE.

**Total magnetization**: 0.00 μB per atom
**Formation energy (no corrections)**: 0.222 eV per atom
**Space-group type**: I4/mmm
**Raw total energy**: -2.203 eV/atom

Structure (POSCAR):
```
Hg2Sb2Au
1.0
3.956 0.000 0.000
0.000 3.956 0.000
1.978 1.978 8.965
Au Hg Sb
1 2 2
Direct
0.000 0.000 0.000 Au
0.250 0.750 0.500 Hg
0.750 0.250 0.500 Hg
0.578 0.578 0.844 Sb
0.422 0.422 0.156 Sb
```



4.
A geometry-optimized Ba2P structure. Source: Alexandria, functional PBE.

**Energy of formation**: -0.699 eV/atom
**Total magnetization**: 0.27 μB per atom
**Space-group type**: Pnma
**Raw total energy**: -3.784 eV/atom

Structure (POSCAR):
```
Ba2P
1.0
-2.124 2.079 4.102
-4.402 -6.675 1.103
7.711 -4.083 6.061
Ba P
8 4
Direct
0.250 0.127 0.420 Ba
0.250 0.536 0.663 Ba
0.250 0.036 0.837 Ba
0.750 0.373 0.920 Ba
0.750 0.464 0.337 Ba
0.250 0.627 0.080 Ba
0.750 0.964 0.163 Ba
0.750 0.873 0.580 Ba
0.750 0.272 0.618 P
0.250 0.228 0.118 P
0.250 0.728 0.382 P
0.750 0.772 0.882 P
```



5.
A geometry-optimized UOsRu structure. Source: Alexandria, functional PBE.

**Energy of formation**: 0.260 eV/atom
**Total magnetization**: 0.08 μB per atom
**Space-group type**: P3m1
**Raw total energy**: -10.338 eV/atom

Structure (POSCAR):
```
UOsRu
1.0
2.784 0.000 0.000
-1.392 2.411 0.000
0.000 0.000 7.392
Os U Ru
1 1 1
Direct
0.000 0.000 0.025 Os
0.333 0.667 0.665 U
0.667 0.333 0.311 Ru
```



6.
A geometry-optimized GdYCdAu structure. Source: Alexandria, functional PBE.

**Energy of formation**: -0.565 eV/atom
**Total magnetization**: 1.80 μB per atom
**Space-group type**: F-43m
**Raw total energy**: -6.749 eV/atom

Structure (POSCAR):
```
GdYCdAu
1.0
-1.569 -3.079 3.907
3.504 -2.716 2.748
1.033 1.322 4.939
Gd Au Y Cd
1 1 1 1
Direct
0.250 0.250 0.250 Gd
0.500 0.500 0.500 Au
0.750 0.750 0.750 Y
0.000 0.000 0.000 Cd
```



7.
A geometry-optimized Sm2Pd15Pb2 structure. Source: Alexandria, functional PBE.

**Energy of formation**: -0.345 eV/atom
**Total magnetization**: 0.00 μB per atom
**Space-group type**: R-3m
**Raw total energy**: -5.332 eV/atom

Structure (POSCAR):
```
Sm2Pd15Pb2
1.0
7.104 0.027 0.024
0.949 7.041 0.024
0.949 0.833 6.991
Pd Sm Pb
15 2 2
Direct
0.832 0.345 0.345 Pd
0.168 0.655 0.655 Pd
0.655 0.168 0.655 Pd
0.500 0.000 0.000 Pd
0.322 0.678 0.000 Pd
0.000 0.500 0.000 Pd
0.345 0.832 0.345 Pd
0.345 0.345 0.832 Pd
0.655 0.655 0.168 Pd
0.000 0.000 0.500 Pd
0.000 0.678 0.322 Pd
0.322 0.000 0.678 Pd
0.678 0.000 0.322 Pd
0.000 0.322 0.678 Pd
0.678 0.322 0.000 Pd
0.641 0.641 0.641 Sm
0.359 0.359 0.359 Sm
0.108 0.108 0.108 Pb
0.892 0.892 0.892 Pb
```



8.
A geometry-optimized ZrMoC structure. Source: Alexandria, functional PBE.

**Energy of formation**: 0.248 eV/atom
**Total magnetization**: 0.00 μB per atom
**Space-group type**: F-43m
**Raw total energy**: -9.286 eV/atom

Structure (POSCAR):
```
ZrMoC
1.0
-2.253 -3.224 0.266
0.985 -3.262 -1.983
1.314 -3.168 1.944
Mo C Zr
1 1 1
Direct
0.000 0.000 0.000 Mo
0.750 0.750 0.750 C
0.500 0.500 0.500 Zr
```



9.
A geometry-optimized ScW2Cl structure. Source: Alexandria, functional PBE.

**Total magnetization**: 0.00 μB per atom
**Formation energy (no corrections)**: -0.023 eV per atom
**Space-group type**: Cmm2
**Raw total energy**: -8.544 eV/atom

Structure (POSCAR):
```
ScW2Cl
1.0
2.958 0.004 0.000
-1.162 2.721 0.000
0.000 0.000 9.727
W Cl Sc
2 1 1
Direct
0.000 0.000 0.991 W
0.500 0.500 0.195 W
0.000 0.000 0.561 Cl
0.500 0.500 0.753 Sc
```



10.
A geometry-optimized HOs3Pd structure. Source: Alexandria, functional PBE.

**Total magnetization**: 0.00 μB per atom
**Space-group type**: Pm-3m
**Raw total energy**: -7.995 eV/atom

Structure (POSCAR):
```
HOs3Pd
1.0
-0.791 -3.196 -2.132
3.610 -1.364 0.705
-1.316 -1.820 3.216
Os Pd H
3 1 1
Direct
0.500 0.000 0.000 Os
0.000 0.500 0.000 Os
0.000 0.000 0.500 Os
0.500 0.500 0.500 Pd
0.000 0.000 0.000 H
```



11.
A geometry-optimized Li2ZnAgH structure. Source: Alexandria, functional PBE.

**Total magnetization**: 0.00 μB per atom
**Space-group type**: P4/mmm
**Raw total energy**: -2.413 eV/atom

Structure (POSCAR):
```
Li2ZnAgH
1.0
3.938 0.000 0.000
0.000 3.938 0.000
0.000 0.000 4.046
Zn Li H Ag
1 2 1 1
Direct
0.000 0.000 0.500 Zn
0.500 0.000 0.000 Li
0.000 0.500 0.000 Li
0.000 0.000 0.000 H
0.500 0.500 0.500 Ag
```



12.
A geometry-optimized PaO2F4 structure. Source: Alexandria, functional PBE.

**Total magnetization**: 0.43 μB per atom
**Formation energy (no corrections)**: -2.309 eV per atom
**Space-group type**: C2/m
**Raw total energy**: -6.151 eV/atom

Structure (POSCAR):
```
PaO2F4
1.0
3.853 0.000 -0.644
-0.041 4.785 -0.243
-1.042 0.527 5.613
F Pa O
4 1 2
Direct
0.892 0.368 0.783 F
0.108 0.632 0.217 F
0.553 0.217 0.106 F
0.447 0.783 0.894 F
0.000 0.000 0.000 Pa
0.786 0.916 0.573 O
0.214 0.084 0.427 O
```



13.
A geometry-optimized NbAlGa2Co structure. Source: Alexandria, functional PBE.

**Energy of formation**: 0.872 eV/atom
**Total magnetization**: 0.07 μB per atom
**Space-group type**: P4/mmm
**Raw total energy**: -4.523 eV/atom

Structure (POSCAR):
```
NbAlGa2Co
1.0
-1.647 -2.688 3.385
2.543 -3.067 -1.198
3.269 1.595 2.857
Ga Co Al Nb
2 1 1 1
Direct
0.500 0.000 0.000 Ga
0.000 0.000 0.500 Ga
0.000 0.500 0.000 Co
0.000 0.000 0.000 Al
0.500 0.500 0.500 Nb
```



14.
A geometry-optimized Li4Dy3InS8 structure. Source: Alexandria, functional PBE.

**Total magnetization**: 0.00 μB per atom
**Formation energy (no corrections)**: -1.589 eV per atom
**Space-group type**: R-3m
**Raw total energy**: -5.166 eV/atom

Structure (POSCAR):
```
Li4Dy3InS8
1.0
-2.179 -7.214 1.802
5.845 -2.782 -4.068
1.241 5.189 5.616
S Dy Li In
8 3 4 1
Direct
0.247 0.751 0.004 S
0.750 0.750 0.500 S
0.753 0.249 0.996 S
0.247 0.751 0.495 S
0.757 0.751 0.004 S
0.243 0.249 0.996 S
0.753 0.249 0.505 S
0.250 0.250 0.500 S
0.500 0.500 0.500 Dy
0.500 0.500 0.000 Dy
0.000 0.500 0.500 Dy
0.000 0.000 0.500 Li
0.500 0.000 0.000 Li
0.000 0.000 0.000 Li
0.500 0.000 0.500 Li
0.000 0.500 0.000 In
```